Entry 1:
Material: TmFeC2
Method: DFT, PBE
State: relaxed

Computed properties:
Energy relative to the elements (eV per atom): 0.2205
Space-group type: R-3m (166)
Volume (Å³/cell): 42.7

Cell lengths 4.8295, 4.8295, 4.8295 Å; angles 40.44, 40.44, 40.44 degrees
Last column: nearest neighbours and their distance in Å.
Fractional coordinates of all 4 atoms:
Tm 0.0000 0.0000 0.0000  6 C 2.45
Fe 0.5000 0.5000 0.5000  6 C 2.05
C 0.2196 0.2196 0.2196  3 Fe 2.05
C 0.7804 0.7804 0.7804  3 Fe 2.05

Entry 2:
Material: K2BeOs
Method: DFT, PBE
State: relaxed

Computed properties:
Energy relative to the elements (eV per atom): 0.9220
Space-group type: Cm (8)
Volume (Å³/cell): 99.8

Cell lengths 6.4602, 6.4602, 6.2385 Å; angles 107.63, 107.63, 23.77 degrees
Last column: nearest neighbours and their distance in Å.
Fractional coordinates of all 4 atoms:
K 0.0000 0.0000 0.0000  2 K 2.66
K 0.1957 0.1957 0.6097  2 K 2.66
Be 0.4026 0.4026 0.4105  2 Os 2.25
Os 0.7763 0.7763 0.1711  2 Be 2.25

Entry 3:
Material: CeThCo
Method: DFT, PBE
State: relaxed

Computed properties:
Energy relative to the elements (eV per atom): -0.1467
Space-group type: P2_1/m (11)
Volume (Å³/cell): 139.8
Energy above the most stable polymorph in this dataset (meV per atom): 0

Cell lengths 4.5596, 4.3799, 6.9991 Å; angles 90.00, 90.83, 90.00 degrees
Last column: nearest neighbours and their distance in Å.
Fractional coordinates of all 6 atoms:
Ce 0.2068 0.2500 0.0041  3 Co 2.67-2.89, 2 Ce 2.89
Ce 0.7932 0.7500 0.9959  3 Co 2.67-2.89, 2 Ce 2.89
Th 0.2538 0.7500 0.6149  1 Co 2.58
Th 0.7462 0.2500 0.3851  1 Co 2.58
Co 0.3676 0.7500 0.2548  1 Th 2.58, 1 Ce 2.67
Co 0.6324 0.2500 0.7452  1 Th 2.58, 1 Ce 2.67

Entry 4:
Material: HoZr5
Method: DFT, PBE
State: relaxed

Computed properties:
Energy relative to the elements (eV per atom): 0.0848
Space-group type: Cmmm (65)
Volume (Å³/cell): 144.9

Cell lengths 7.2519, 7.2519, 4.5770 Å; angles 90.00, 90.00, 142.99 degrees
Last column: nearest neighbours and their distance in Å.
Fractional coordinates of all 6 atoms:
Ho 0.0000 0.0000 0.0000  12 Zr 3.25-3.27
Zr 0.1699 0.8301 0.5000  10 Zr 3.18-3.28, 2 Ho 3.27
Zr 0.3308 0.6692 0.0000  10 Zr 3.18-3.26, 2 Ho 3.27
Zr 0.5000 0.5000 0.5000  4 Ho 3.25, 8 Zr 3.26-3.28
Zr 0.6692 0.3308 0.0000  10 Zr 3.18-3.26, 2 Ho 3.27
Zr 0.8301 0.1699 0.5000  10 Zr 3.18-3.28, 2 Ho 3.27

Entry 5:
Material: LiO2F2
Method: DFT, PBE
State: relaxed

Computed properties:
Space-group type: P4/mmm (123)
Volume (Å³/cell): 61.4
Energy above the most stable polymorph in this dataset (meV per atom): 1187
Raw formation energy (eV/atom): 0.028

Cell lengths 3.6226, 3.6226, 4.6791 Å; angles 90.00, 90.00, 90.00 degrees
Last column: nearest neighbours and their distance in Å.
Fractional coordinates of all 5 atoms:
Li 0.0000 0.0000 0.0000  4 F 1.81
O 0.0000 0.0000 0.5000  2 Li 2.34, 4 O 2.56
O 0.5000 0.5000 0.5000  4 O 2.56
F 0.0000 0.5000 0.0000  2 Li 1.81
F 0.5000 0.0000 0.0000  2 Li 1.81

Entry 6:
Material: Mg2CrAuN
Method: DFT, PBE
State: relaxed

Computed properties:
Space-group type: P4/mmm (123)
Volume (Å³/cell): 73.7
Raw formation energy (eV/atom): -0.429

Cell lengths 4.4103, 4.4103, 3.7883 Å; angles 90.00, 90.00, 90.00 degrees
Last column: nearest neighbours and their distance in Å.
Fractional coordinates of all 5 atoms:
Mg 0.0000 0.5000 0.0000  2 N 2.21
Mg 0.5000 0.0000 0.0000  2 N 2.21
Cr 0.0000 0.0000 0.5000  2 N 1.89
Au 0.5000 0.5000 0.5000  8 Mg 2.91, 4 Cr 3.12
N 0.0000 0.0000 0.0000  2 Cr 1.89

Entry 7:
Material: Rb2AlAs2
Method: DFT, PBE
State: relaxed

Computed properties:
Energy relative to the elements (eV per atom): 0.2393
Space-group type: I4/mmm (139)
Volume (Å³/cell): 183.1
Energy above the most stable polymorph in this dataset (meV per atom): 684

Cell lengths 7.7303, 7.7303, 7.7303 Å; angles 140.80, 140.80, 56.65 degrees
Last column: nearest neighbours and their distance in Å.
Fractional coordinates of all 5 atoms:
Rb 0.2500 0.7500 0.5000  4 As 3.44, 4 Rb 3.67
Rb 0.7500 0.2500 0.5000  4 As 3.44, 4 Rb 3.67
Al 0.0000 0.0000 0.0000  8 As 3.84, 8 Rb 4.28
As 0.4156 0.4156 0.0000  1 As 2.30
As 0.5844 0.5844 0.0000  1 As 2.30

Entry 8:
Material: Al2Co2C
Method: DFT, PBE
State: relaxed

Computed properties:
Energy relative to the elements (eV per atom): 0.7646
Space-group type: I4/mmm (139)
Volume (Å³/cell): 63.0
Energy above the most stable polymorph in this dataset (meV per atom): 282

Cell lengths 6.9752, 6.9752, 6.9752 Å; angles 154.47, 154.47, 36.42 degrees
Last column: nearest neighbours and their distance in Å.
Fractional coordinates of all 5 atoms:
Al 0.0936 0.0936 0.0000  1 Al 2.48, 4 C 2.51, 4 Co 2.58
Al 0.9064 0.9064 0.0000  1 Al 2.48, 4 C 2.51, 4 Co 2.58
Co 0.2500 0.7500 0.5000  4 Co 2.18
Co 0.7500 0.2500 0.5000  4 Co 2.18
C 0.5000 0.5000 0.0000  8 Al 2.51

volume of number 1 (TmFeC2)?
42.7 Å³/cell

Copy entry 3 word for word.
Material: CeThCo
Method: DFT, PBE
State: relaxed

Computed properties:
Energy relative to the elements (eV per atom): -0.1467
Space-group type: P2_1/m (11)
Volume (Å³/cell): 139.8
Energy above the most stable polymorph in this dataset (meV per atom): 0

Cell lengths 4.5596, 4.3799, 6.9991 Å; angles 90.00, 90.83, 90.00 degrees
Last column: nearest neighbours and their distance in Å.
Fractional coordinates of all 6 atoms:
Ce 0.2068 0.2500 0.0041  3 Co 2.67-2.89, 2 Ce 2.89
Ce 0.7932 0.7500 0.9959  3 Co 2.67-2.89, 2 Ce 2.89
Th 0.2538 0.7500 0.6149  1 Co 2.58
Th 0.7462 0.2500 0.3851  1 Co 2.58
Co 0.3676 0.7500 0.2548  1 Th 2.58, 1 Ce 2.67
Co 0.6324 0.2500 0.7452  1 Th 2.58, 1 Ce 2.67

Number 7 is which compound?
Rb2AlAs2

Look up the volume of the fifth one.
61.4 Å³/cell